Below is a relaxed structure of PmHf, with properties calculated at the GGA-PBE level.

Unit cell a=6.612 b=6.612 c=6.612 alpha=90.00 beta=90.00 gamma=90.00
Space group F-43m (No. 216)
Asymmetric unit:
Pm 0.000 0.000 0.000 [4 per cell]
Hf 0.250 0.250 0.250 [4 per cell]

Values from the calculation:
* ΔH_f (0 K): 2.211 eV/atom
* magnetization: 0.035 μB per formula unit
* total DFT energy (no corrections): -5.139 eV/atom
* energy relative to the lowest polymorph listed for this composition: 1948 meV/atom